(1)
A plane-wave DFT calculation with PBE was carried out for crystalline Pr6Ag5Pd at its relaxed geometry.

Cell: 9.2032 9.2032 9.2032 Å, 146.40 131.74 60.09°
Positions (direct):
Pr1 0.0828 0.3384 0.7444
Pr2 0.2406 0.0000 0.2406
Pr3 0.4060 0.6616 0.7444
Pr4 0.5940 0.3384 0.2556
Pr5 0.7594 0.0000 0.7594
Pr6 0.9172 0.6616 0.2556
Ag1 0.1758 0.1758 0.0000
Ag2 0.3327 0.8327 0.5000
Ag3 0.5000 0.5000 0.0000
Ag4 0.6673 0.1673 0.5000
Ag5 0.8242 0.8242 0.0000
Pd1 0.0000 0.5000 0.5000

Calculated values
VASP energy	-51.970	eV/cell
V	26.577	A^3/atom
total magnetic moment	0.00	Bohr magnetons per cell
calculated formation energy	-320	meV per atom

***

(2)
A plane-wave DFT calculation with PBE was carried out for crystalline Pr6AgPd3 at its relaxed geometry.

Cell: 9.2048 9.2048 7.3190 Å, 90.00 90.00 113.27°
Positions (direct):
Pr1 0.0476 0.9524 0.5000
Pr2 0.0904 0.5143 0.9992
Pr3 0.2772 0.3339 0.6699
Pr4 0.3255 0.6745 0.4134
Pr5 0.3339 0.2772 0.1699
Pr6 0.4857 0.9096 0.9992
Pr7 0.5143 0.0904 0.4992
Pr8 0.6661 0.7228 0.6699
Pr9 0.6745 0.3255 0.9134
Pr10 0.7228 0.6661 0.1699
Pr11 0.9096 0.4857 0.4992
Pr12 0.9524 0.0476 0.0000
Ag1 0.1539 0.8461 0.1662
Ag2 0.8461 0.1539 0.6662
Pd1 0.0323 0.2637 0.3300
Pd2 0.2637 0.0323 0.8300
Pd3 0.4273 0.5727 0.9538
Pd4 0.5727 0.4273 0.4538
Pd5 0.7363 0.9677 0.3300
Pd6 0.9677 0.7363 0.8300

Calculated values
VASP energy	-102.197	eV/cell
V	28.484	A^3/atom
total magnetic moment	0.00	Bohr magnetons per cell
calculated formation energy	-399	meV per atom

***

(3)
A plane-wave DFT calculation with PBE was carried out for crystalline Pr3Ag4Pd2 at its relaxed geometry.

Cell: 5.7540 5.7540 9.4967 Å, 109.88 109.88 47.62°
Positions (direct):
Pr1 0.0000 0.0000 0.0000
Pr2 0.1292 0.1292 0.6956
Pr3 0.8708 0.8708 0.3044
Ag1 0.2153 0.2153 0.4056
Ag2 0.3206 0.3206 0.0560
Ag3 0.6794 0.6794 0.9440
Ag4 0.7847 0.7847 0.5944
Pd1 0.4320 0.4320 0.7128
Pd2 0.5680 0.5680 0.2872

Calculated values
VASP energy	-39.231	eV/cell
V	23.960	A^3/atom
total magnetic moment	0.00	Bohr magnetons per cell
calculated formation energy	-345	meV per atom

***

(4)
A plane-wave DFT calculation with PBE was carried out for crystalline PrAg6Pd4 at its relaxed geometry.

Cell: 6.9984 6.9984 6.9984 Å, 122.61 122.61 85.54°
Positions (direct):
Pr1 0.0000 0.0000 0.0000
Ag1 0.0000 0.5000 0.5000
Ag2 0.2449 0.5463 0.0000
Ag3 0.4537 0.4537 0.6986
Ag4 0.5000 0.0000 0.5000
Ag5 0.5463 0.2449 0.0000
Ag6 0.7551 0.7551 0.3014
Pd1 0.0981 0.0981 0.5091
Pd2 0.4110 0.9019 0.0000
Pd3 0.5890 0.5890 0.4909
Pd4 0.9019 0.4110 0.0000

Calculated values
VASP energy	-41.904	eV/cell
V	21.095	A^3/atom
total magnetic moment	0.00	Bohr magnetons per cell
calculated formation energy	69	meV per atom

***

(5)
A plane-wave DFT calculation with PBE was carried out for crystalline Pr2AgPd9 at its relaxed geometry.

Cell: 4.1867 4.1867 12.2660 Å, 90.00 90.00 90.00°
Positions (direct):
Pr1 0.0000 0.0000 0.1749
Pr2 0.0000 0.0000 0.8251
Ag1 0.0000 0.0000 0.5000
Pd1 0.0000 0.5000 0.0000
Pd2 0.0000 0.5000 0.3449
Pd3 0.0000 0.5000 0.6551
Pd4 0.5000 0.0000 0.0000
Pd5 0.5000 0.0000 0.3449
Pd6 0.5000 0.0000 0.6551
Pd7 0.5000 0.5000 0.1716
Pd8 0.5000 0.5000 0.5000
Pd9 0.5000 0.5000 0.8284

Calculated values
VASP energy	-64.822	eV/cell
V	17.917	A^3/atom
total magnetic moment	0.00	Bohr magnetons per cell
calculated formation energy	-473	meV per atom

***

(6)
A plane-wave DFT calculation with PBE was carried out for crystalline PrAgPd2 at its relaxed geometry.

Cell: 5.2844 5.2844 5.2844 Å, 52.10 52.10 52.10°
Positions (direct):
Pr1 0.0000 0.0000 0.0000
Ag1 0.5000 0.5000 0.5000
Pd1 0.2167 0.2167 0.2167
Pd2 0.7833 0.7833 0.7833

Calculated values
VASP energy	-20.056	eV/cell
V	21.245	A^3/atom
total magnetic moment	0.00	Bohr magnetons per cell
energy above the lowest structure with this stoichiometry	0.0314	eV/atom
calculated formation energy	-510	meV per atom

***

(7)
A plane-wave DFT calculation with PBE was carried out for crystalline PrAg3Pd8 at its relaxed geometry.

Cell: 5.3295 5.3295 8.7547 Å, 90.00 90.00 120.00°
Positions (direct):
Pr1 0.0000 0.0000 0.0000
Ag1 0.0000 0.0000 0.3899
Ag2 0.6667 0.3333 0.4938
Ag3 0.6667 0.3333 0.8484
Pd1 0.1645 0.3289 0.6813
Pd2 0.1645 0.8355 0.6813
Pd3 0.3333 0.6667 0.4320
Pd4 0.3333 0.6667 0.9324
Pd5 0.5028 0.0057 0.1867
Pd6 0.5028 0.4972 0.1867
Pd7 0.6711 0.8355 0.6813
Pd8 0.9943 0.4972 0.1867

Calculated values
VASP energy	-57.368	eV/cell
V	17.946	A^3/atom
total magnetic moment	0.00	Bohr magnetons per cell
calculated formation energy	-208	meV per atom

***

(8)
A plane-wave DFT calculation with PBE was carried out for crystalline Pr3Ag5Pd2 at its relaxed geometry.

Cell: 9.3230 9.3230 9.3230 Å, 101.63 90.67 141.87°
Positions (direct):
Pr1 0.2386 0.6258 0.8645
Pr2 0.2500 0.2500 0.0000
Pr3 0.2614 0.1258 0.3872
Pr4 0.7386 0.8742 0.6128
Pr5 0.7500 0.7500 0.0000
Pr6 0.7614 0.3742 0.1355
Ag1 0.1432 0.3749 0.5182
Ag2 0.2500 0.5059 0.2559
Ag3 0.2500 0.7500 0.5000
Ag4 0.2500 0.9941 0.7441
Ag5 0.3568 0.8749 0.2317
Ag6 0.6432 0.1251 0.7683
Ag7 0.7500 0.0059 0.2559
Ag8 0.7500 0.2500 0.5000
Ag9 0.7500 0.4941 0.7441
Ag10 0.8568 0.6251 0.4818
Pd1 0.1523 0.8663 0.0186
Pd2 0.3477 0.3663 0.7140
Pd3 0.6523 0.6337 0.2860
Pd4 0.8477 0.1337 0.9814

Calculated values
VASP energy	-83.213	eV/cell
V	23.510	A^3/atom
total magnetic moment	0.00	Bohr magnetons per cell
calculated formation energy	-263	meV per atom

***

(9)
A plane-wave DFT calculation with PBE was carried out for crystalline Pr2AgPd2 at its relaxed geometry.

Cell: 7.8368 7.8368 3.9129 Å, 90.00 90.00 90.00°
Positions (direct):
Pr1 0.1733 0.3267 0.0000
Pr2 0.3267 0.8267 0.0000
Pr3 0.6733 0.1733 0.0000
Pr4 0.8267 0.6733 0.0000
Ag1 0.0000 0.0000 0.5000
Ag2 0.5000 0.5000 0.5000
Pd1 0.1282 0.6282 0.5000
Pd2 0.3718 0.1282 0.5000
Pd3 0.6282 0.8718 0.5000
Pd4 0.8718 0.3718 0.5000

Calculated values
VASP energy	-52.130	eV/cell
V	24.031	A^3/atom
total magnetic moment	0.00	Bohr magnetons per cell
energy above the lowest structure with this stoichiometry	0.0000	eV/atom
calculated formation energy	-654	meV per atom

***

(10)
A plane-wave DFT calculation with PBE was carried out for crystalline PrAg2Pd at its relaxed geometry.

Cell: 4.4527 7.7254 5.5195 Å, 90.00 113.73 90.00°
Positions (direct):
Pr1 0.0765 0.2500 0.1526
Pr2 0.9235 0.7500 0.8474
Ag1 0.3666 0.0563 0.7318
Ag2 0.3666 0.4437 0.7318
Ag3 0.6334 0.5563 0.2682
Ag4 0.6334 0.9437 0.2682
Pd1 0.2144 0.7500 0.4315
Pd2 0.7856 0.2500 0.5685

Calculated values
VASP energy	-34.620	eV/cell
V	21.727	A^3/atom
total magnetic moment	0.00	Bohr magnetons per cell
energy above the lowest structure with this stoichiometry	0.0000	eV/atom
calculated formation energy	-409	meV per atom

***

(11)
A plane-wave DFT calculation with PBE was carried out for crystalline Pr6AgPd2 at its relaxed geometry.

Cell: 6.8652 7.6130 12.6285 Å, 90.00 122.87 90.00°
Positions (direct):
Pr1 0.0644 0.0558 0.2379
Pr2 0.0644 0.4442 0.7379
Pr3 0.2171 0.6885 0.0790
Pr4 0.2171 0.8115 0.5790
Pr5 0.3801 0.1551 0.0657
Pr6 0.3801 0.3449 0.5657
Pr7 0.6199 0.6551 0.4343
Pr8 0.6199 0.8449 0.9343
Pr9 0.7829 0.1885 0.4210
Pr10 0.7829 0.3115 0.9210
Pr11 0.9356 0.5558 0.2621
Pr12 0.9356 0.9442 0.7621
Ag1 0.5000 0.0000 0.5000
Ag2 0.5000 0.5000 0.0000
Pd1 0.3140 0.1206 0.7420
Pd2 0.3140 0.3794 0.2420
Pd3 0.6859 0.6206 0.7580
Pd4 0.6859 0.8794 0.2580

Calculated values
VASP energy	-89.094	eV/cell
V	30.798	A^3/atom
total magnetic moment	0.00	Bohr magnetons per cell
energy above the lowest structure with this stoichiometry	0.0918	eV/atom
calculated formation energy	-293	meV per atom

***

(12)
A plane-wave DFT calculation with PBE was carried out for crystalline Pr3AgPd8 at its relaxed geometry.

Cell: 9.5411 9.5411 9.5411 Å, 33.38 33.38 33.38°
Positions (direct):
Pr1 0.0000 0.0000 0.0000
Pr2 0.1306 0.1306 0.1306
Pr3 0.5197 0.5197 0.5197
Ag1 0.6391 0.6391 0.6391
Pd1 0.0704 0.5710 0.5710
Pd2 0.0718 0.0718 0.5675
Pd3 0.0718 0.5675 0.0718
Pd4 0.3205 0.3205 0.3205
Pd5 0.5675 0.0718 0.0718
Pd6 0.5710 0.0704 0.5710
Pd7 0.5710 0.5710 0.0704
Pd8 0.8207 0.8207 0.8207

Calculated values
VASP energy	-66.741	eV/cell
V	19.511	A^3/atom
total magnetic moment	0.00	Bohr magnetons per cell
calculated formation energy	-667	meV per atom